Density functional theory data (GGA-PBE) for a geometry-optimized CsSiAgTe3 structure.

POSCAR file:
```
CsSiAgTe3
1.0
9.613 0.000 0.000
0.000 4.196 0.000
-4.199 0.000 9.874
Ag Te Cs Si
2 6 2 2
direct
0.447 0.750 0.406
0.553 0.250 0.594
0.648 0.250 0.876
0.244 0.250 0.408
0.352 0.750 0.124
0.032 0.250 0.864
0.756 0.750 0.592
0.968 0.750 0.136
0.728 0.250 0.277
0.272 0.750 0.723
0.838 0.750 0.867
0.162 0.250 0.133
```

Computed properties:
V	398.3	Å³/cell
density	5.43	Mg/m³
energy above the most stable polymorph in this dataset	0.0	kJ/mol of atoms
final energy	-40.42	eV for the cell shown